Tl2Ge2Te3: optimized geometry, PBE. Values from VASP.

Geometry as Quantum ESPRESSO input:
```
&SYSTEM
  ibrav = 0, nat = 7, ntyp = 3
/
ATOMIC_SPECIES
Tl 204.38 Tl.upf
Ge 72.64 Ge.upf
Te 127.60 Te.upf
CELL_PARAMETERS angstrom
4.287 0.000 0.000
0.000 6.548 0.672
-2.144 -2.322 7.744
ATOMIC_POSITIONS angstrom
Tl 2.144 4.520 1.964
Tl 0.000 -0.294 6.452
Ge 2.144 2.397 5.994
Ge 0.000 1.829 2.422
Te 0.000 0.000 0.000
Te 2.144 0.470 3.591
Te 0.000 3.756 4.825
```

Properties
space group: C2/m
relative energy among the computed polymorphs: 0.0000 eV/atom


Tl2Ge2Te5: optimized geometry, PBE. Values from VASP.

Geometry as Quantum ESPRESSO input:
```
&SYSTEM
  ibrav = 0, nat = 9, ntyp = 3
/
ATOMIC_SPECIES
Tl 204.38 Tl.upf
Ge 72.64 Ge.upf
Te 127.60 Te.upf
CELL_PARAMETERS angstrom
5.428 0.000 0.000
-2.714 7.025 -0.654
0.000 -1.835 8.697
ATOMIC_POSITIONS angstrom
Tl 0.000 4.319 5.145
Tl 2.714 0.871 2.898
Ge 0.000 0.778 7.369
Ge 2.714 4.412 0.674
Te 0.000 5.078 -0.020
Te 2.714 0.112 8.063
Te 0.000 1.040 4.775
Te 2.714 4.150 3.268
Te 0.000 0.000 0.000
```

Properties
space group: C2/m
DFT total energy: -3.322 eV/atom


TlGeTe4: optimized geometry, PBE. Values from VASP.

Geometry as Quantum ESPRESSO input:
```
&SYSTEM
  ibrav = 0, nat = 12, ntyp = 3
/
ATOMIC_SPECIES
Tl 204.38 Tl.upf
Ge 72.64 Ge.upf
Te 127.60 Te.upf
CELL_PARAMETERS angstrom
-0.659 4.015 -6.061
-4.507 -5.168 -2.885
-3.007 4.733 7.911
ATOMIC_POSITIONS angstrom
Tl -6.881 3.852 1.213
Tl -1.292 -0.272 -2.248
Ge -1.833 4.374 0.925
Ge -3.757 -0.217 2.513
Te -3.212 6.143 2.803
Te -2.966 1.528 -4.681
Te -4.961 -2.563 -3.839
Te -5.207 2.052 3.646
Te -6.521 1.651 -3.668
Te -4.062 0.393 -0.390
Te -1.652 1.929 2.633
Te -4.111 3.187 -0.646
```

Properties
space group: P-1
relative energy among the computed polymorphs: 0.0395 eV/atom


TlGe2Te2: optimized geometry, PBE. Values from VASP.

Geometry as Quantum ESPRESSO input:
```
&SYSTEM
  ibrav = 0, nat = 5, ntyp = 3
/
ATOMIC_SPECIES
Tl 204.38 Tl.upf
Te 127.60 Te.upf
Ge 72.64 Ge.upf
CELL_PARAMETERS angstrom
5.563 0.000 0.000
0.000 5.563 0.000
2.782 2.782 4.848
ATOMIC_POSITIONS angstrom
Tl 0.000 0.000 0.000
Te 5.563 2.782 2.424
Te 2.782 5.563 2.424
Ge 2.782 2.782 1.399
Ge 5.563 5.563 3.449
```

Properties
space group: I4/mmm
relative energy among the computed polymorphs: 0.0000 eV/atom


TlGeTe: optimized geometry, PBE. Values from VASP.

Geometry as Quantum ESPRESSO input:
```
&SYSTEM
  ibrav = 0, nat = 12, ntyp = 3
/
ATOMIC_SPECIES
Ge 72.64 Ge.upf
Tl 204.38 Tl.upf
Te 127.60 Te.upf
CELL_PARAMETERS angstrom
-3.386 -1.980 -5.266
-2.441 -1.645 6.282
-4.495 7.269 0.158
ATOMIC_POSITIONS angstrom
Ge -5.307 2.406 -1.586
Ge -5.021 -2.479 0.067
Ge -5.015 1.239 2.759
Ge -5.301 6.124 1.106
Tl -2.639 0.896 -0.687
Tl -5.989 3.738 4.493
Tl -7.682 2.748 1.860
Tl -4.332 -0.094 -3.320
Te -6.344 0.217 -0.096
Te -7.123 4.787 -1.313
Te -3.978 3.428 1.269
Te -3.198 -1.143 2.486
```

Properties
space group: Cmce
relative energy among the computed polymorphs: 0.0000 eV/atom


Tl7GeTe6: optimized geometry, PBE. Values from VASP.

Geometry as Quantum ESPRESSO input:
```
&SYSTEM
  ibrav = 0, nat = 28, ntyp = 3
/
ATOMIC_SPECIES
Tl 204.38 Tl.upf
Ge 72.64 Ge.upf
Te 127.60 Te.upf
CELL_PARAMETERS angstrom
7.408 0.000 2.780
3.163 11.749 2.832
-0.441 1.089 12.437
ATOMIC_POSITIONS angstrom
Tl 5.317 1.184 14.500
Tl 4.813 11.654 3.549
Tl 6.780 6.515 9.570
Tl 3.350 6.324 8.479
Tl 4.880 6.943 5.196
Tl 6.350 2.882 9.922
Tl 1.117 4.627 12.607
Tl 7.913 11.226 8.374
Tl 5.250 5.896 12.854
Tl 3.780 9.957 8.128
Tl 9.013 8.212 5.442
Tl 2.217 1.613 9.675
Tl 2.533 3.210 4.512
Tl 7.598 9.629 13.537
Ge 6.237 3.210 5.902
Ge 3.893 9.629 12.147
Te 5.522 3.205 3.357
Te 0.322 1.079 3.591
Te 7.670 5.340 6.532
Te 4.024 3.214 7.349
Te 4.608 9.633 14.693
Te 9.808 11.759 14.459
Te 2.460 7.498 11.517
Te 6.106 9.624 10.700
Te 9.289 8.263 8.715
Te 0.841 4.576 9.335
Te 3.990 2.932 12.205
Te 6.140 9.906 5.844
```

Properties
space group: Ibam
DFT total energy: -3.063 eV/atom


Tl5Ge2Te5: optimized geometry, PBE. Values from VASP.

Geometry as Quantum ESPRESSO input:
```
&SYSTEM
  ibrav = 0, nat = 12, ntyp = 3
/
ATOMIC_SPECIES
Tl 204.38 Tl.upf
Ge 72.64 Ge.upf
Te 127.60 Te.upf
CELL_PARAMETERS angstrom
-1.609 -4.626 0.096
1.851 2.103 7.382
-11.724 4.028 -2.448
ATOMIC_POSITIONS angstrom
Tl -6.666 -0.299 -1.176
Tl -1.186 -2.134 2.262
Tl -4.387 -1.009 2.836
Tl -7.095 2.514 2.195
Tl -10.296 3.640 2.769
Ge -9.260 3.195 -1.282
Ge -2.222 -1.690 6.312
Te -4.308 1.513 0.670
Te -9.806 0.821 0.183
Te -1.677 0.684 4.848
Te -7.174 -0.008 4.361
Te 0.000 0.000 0.000
```

Properties
space group: C2/m
DFT total energy: -3.258 eV/atom


Tl3GeTe3: optimized geometry, PBE. Values from VASP.

Geometry as Quantum ESPRESSO input:
```
&SYSTEM
  ibrav = 0, nat = 28, ntyp = 3
/
ATOMIC_SPECIES
Tl 204.38 Tl.upf
Ge 72.64 Ge.upf
Te 127.60 Te.upf
CELL_PARAMETERS angstrom
-1.347 -4.061 7.120
-7.249 -3.204 -4.774
7.325 -10.074 -4.360
ATOMIC_POSITIONS angstrom
Tl 2.797 -13.704 -0.450
Tl 1.398 -7.522 2.886
Tl -4.068 -3.635 -1.564
Tl -2.669 -9.817 -4.900
Tl -0.018 -11.521 1.113
Tl 0.055 -3.986 3.797
Tl -1.253 -5.818 -3.128
Tl -1.326 -13.353 -5.812
Tl 2.816 -10.860 -3.185
Tl 1.330 -4.386 -0.668
Tl -4.087 -6.479 1.171
Tl -2.602 -12.953 -1.346
Ge 1.038 -8.382 -1.140
Ge -0.838 -1.438 -0.365
Ge -2.310 -8.957 -0.875
Ge -0.433 -15.901 -1.650
Te -5.301 -4.246 -4.720
Te -0.520 -10.465 -2.290
Te 4.030 -13.093 2.705
Te -0.751 -6.874 0.276
Te -2.097 -3.079 1.348
Te 2.284 -6.722 -2.845
Te 0.826 -14.260 -3.363
Te -3.556 -10.617 0.830
Te 2.836 -9.523 0.543
Te -2.525 -6.362 4.204
Te -4.107 -7.816 -2.558
Te 1.253 -10.977 -6.219
```

Properties
space group: P2_1/c
relative energy among the computed polymorphs: 0.0518 eV/atom


TlGe2Te: optimized geometry, PBE. Values from VASP.

Geometry as Quantum ESPRESSO input:
```
&SYSTEM
  ibrav = 0, nat = 8, ntyp = 3
/
ATOMIC_SPECIES
Tl 204.38 Tl.upf
Te 127.60 Te.upf
Ge 72.64 Ge.upf
CELL_PARAMETERS angstrom
-6.051 1.780 0.951
-1.499 -1.950 -5.885
-5.201 -6.215 -0.073
ATOMIC_POSITIONS angstrom
Tl 0.000 0.000 0.000
Tl -7.514 -2.260 -0.794
Te -3.775 -0.085 -2.467
Te -5.238 -4.125 -4.212
Ge -5.300 -0.676 -0.154
Ge -2.964 -2.559 -3.582
Ge -6.725 -4.715 -1.876
Ge -10.515 -4.820 -4.401
```

Properties
space group: I-42d
DFT total energy: -3.377 eV/atom


Tl4GeTe5: optimized geometry, PBE. Values from VASP.

Geometry as Quantum ESPRESSO input:
```
&SYSTEM
  ibrav = 0, nat = 10, ntyp = 3
/
ATOMIC_SPECIES
Tl 204.38 Tl.upf
Ge 72.64 Ge.upf
Te 127.60 Te.upf
CELL_PARAMETERS angstrom
-5.315 4.191 -2.228
-5.073 2.197 4.838
1.355 8.524 1.405
ATOMIC_POSITIONS angstrom
Tl -7.069 10.610 2.795
Tl -2.734 8.188 1.744
Tl -5.080 5.764 2.781
Tl -1.889 4.243 1.251
Ge -4.933 3.890 -2.068
Te -4.422 2.520 2.457
Te -5.221 8.761 4.764
Te -4.455 6.658 -1.019
Te -5.281 12.920 1.277
Te -2.963 2.336 -1.242
```

Properties
space group: C2
relative energy among the computed polymorphs: 0.0556 eV/atom


TlGe2Te2: optimized geometry, PBE. Values from VASP.

Geometry as Quantum ESPRESSO input:
```
&SYSTEM
  ibrav = 0, nat = 5, ntyp = 3
/
ATOMIC_SPECIES
Tl 204.38 Tl.upf
Te 127.60 Te.upf
Ge 72.64 Ge.upf
CELL_PARAMETERS angstrom
4.042 0.000 0.000
0.000 4.042 0.000
2.021 2.021 8.769
ATOMIC_POSITIONS angstrom
Tl 0.000 0.000 0.000
Te 2.021 2.021 2.006
Te 4.042 4.042 6.763
Ge 4.042 2.021 4.385
Ge 2.021 4.042 4.385
```

Properties
space group: I4/mmm
relative energy among the computed polymorphs: 0.1154 eV/atom


Tl8GeTe6: optimized geometry, PBE. Values from VASP.

Geometry as Quantum ESPRESSO input:
```
&SYSTEM
  ibrav = 0, nat = 30, ntyp = 3
/
ATOMIC_SPECIES
Tl 204.38 Tl.upf
Ge 72.64 Ge.upf
Te 127.60 Te.upf
CELL_PARAMETERS angstrom
-7.100 -7.453 1.002
0.490 -1.673 -8.968
8.698 -8.022 1.971
ATOMIC_POSITIONS angstrom
Tl 5.430 -10.045 2.170
Tl -0.665 -8.961 -3.019
Tl -5.326 -9.572 -5.945
Tl 5.576 -6.490 -5.007
Tl 5.379 -5.818 -1.407
Tl -5.619 -8.571 -0.576
Tl 3.443 -9.857 -4.972
Tl -2.162 -7.156 -5.746
Tl -2.405 -6.326 -1.296
Tl 3.196 -9.014 -0.453
Tl 2.020 -14.310 -4.511
Tl 2.193 -5.407 -5.542
Tl 1.980 -4.682 -1.656
Tl 1.742 -13.362 0.571
Tl 3.152 -5.962 1.284
Tl -4.954 -6.987 -3.621
Ge -0.887 -9.141 1.656
Ge 6.708 -10.838 -2.266
Te -4.594 -5.149 0.709
Te 2.420 -7.457 -3.131
Te 6.504 -6.722 1.609
Te -3.966 -10.230 -2.962
Te -3.440 -9.848 1.649
Te 7.260 -8.286 -2.712
Te -0.373 -6.594 1.210
Te 4.158 -11.507 -2.280
Te -0.794 -4.240 -6.118
Te 0.597 -11.410 -4.934
Te 0.340 -10.532 -0.229
Te -1.027 -3.445 -1.855
```

Properties
space group: Pmn2_1
DFT total energy: -3.029 eV/atom


TlGe3Te3: optimized geometry, PBE. Values from VASP.

Geometry as Quantum ESPRESSO input:
```
&SYSTEM
  ibrav = 0, nat = 14, ntyp = 3
/
ATOMIC_SPECIES
Tl 204.38 Tl.upf
Ge 72.64 Ge.upf
Te 127.60 Te.upf
CELL_PARAMETERS angstrom
-3.828 -4.991 -5.503
4.352 -3.448 -6.246
1.851 -9.390 0.883
ATOMIC_POSITIONS angstrom
Tl 2.028 -14.340 -7.443
Tl 0.347 -3.489 -3.423
Ge 0.887 -6.909 -4.574
Ge -0.602 -8.851 -6.715
Ge 2.581 -8.250 -7.004
Ge -0.205 -9.579 -3.862
Ge 2.977 -8.978 -4.150
Ge 1.488 -10.920 -6.292
Te 3.815 -11.411 -4.995
Te -0.240 -12.176 -4.628
Te 1.657 -9.702 -1.899
Te 0.719 -8.127 -8.966
Te 2.616 -5.653 -6.238
Te -1.439 -6.418 -5.870
```

Properties
space group: R-3m
relative energy among the computed polymorphs: 0.0118 eV/atom


TlGe6Te8: optimized geometry, PBE. Values from VASP.

Geometry as Quantum ESPRESSO input:
```
&SYSTEM
  ibrav = 0, nat = 15, ntyp = 3
/
ATOMIC_SPECIES
Tl 204.38 Tl.upf
Ge 72.64 Ge.upf
Te 127.60 Te.upf
CELL_PARAMETERS angstrom
-6.156 -0.650 4.832
-0.157 -7.851 0.038
4.225 -0.850 6.564
ATOMIC_POSITIONS angstrom
Tl 0.000 0.000 0.000
Ge -0.420 -4.263 8.467
Ge 0.041 -7.286 6.079
Ge -3.493 -5.791 6.656
Ge -1.668 -5.088 2.967
Ge -2.129 -2.065 5.355
Ge 1.405 -3.560 4.778
Te -1.521 -6.810 8.327
Te -0.568 -2.542 3.108
Te -3.058 -7.457 4.464
Te -2.788 -2.797 8.324
Te 2.266 -5.774 6.812
Te 0.969 -1.894 6.971
Te 0.699 -6.554 3.111
Te -4.354 -3.577 4.623
```

Properties
space group: R-3
relative energy among the computed polymorphs: 0.0411 eV/atom


TlGe3Te3: optimized geometry, PBE. Values from VASP.

Geometry as Quantum ESPRESSO input:
```
&SYSTEM
  ibrav = 0, nat = 14, ntyp = 3
/
ATOMIC_SPECIES
Tl 204.38 Tl.upf
Ge 72.64 Ge.upf
Te 127.60 Te.upf
CELL_PARAMETERS angstrom
9.001 0.000 0.000
4.501 7.795 0.000
4.501 2.598 6.281
ATOMIC_POSITIONS angstrom
Tl 4.501 2.598 0.057
Tl 13.502 7.795 6.224
Ge 10.771 7.878 4.425
Ge 10.439 2.323 4.425
Ge 5.794 5.389 4.425
Ge 12.208 5.005 1.856
Ge 7.564 8.070 1.856
Ge 7.231 2.515 1.856
Te 5.997 5.725 1.679
Te 10.046 2.331 1.679
Te 10.960 7.534 1.679
Te 7.042 2.860 4.602
Te 7.957 8.062 4.602
Te 12.005 4.669 4.602
```

Properties
space group: R-3
relative energy among the computed polymorphs: 0.0000 eV/atom


Tl2Ge2Te3: optimized geometry, PBE. Values from VASP.

Geometry as Quantum ESPRESSO input:
```
&SYSTEM
  ibrav = 0, nat = 7, ntyp = 3
/
ATOMIC_SPECIES
Tl 204.38 Tl.upf
Ge 72.64 Ge.upf
Te 127.60 Te.upf
CELL_PARAMETERS angstrom
5.361 0.000 -1.566
-0.852 6.499 -2.917
-0.634 -2.542 7.790
ATOMIC_POSITIONS angstrom
Tl 1.096 -0.167 3.753
Tl 2.779 4.124 -0.446
Ge 0.166 1.321 0.570
Ge 3.708 2.636 2.737
Te -0.426 3.250 -1.459
Te 3.087 0.863 0.609
Te 0.788 3.094 2.698
```

Properties
space group: C2/m
relative energy among the computed polymorphs: 0.0210 eV/atom


Tl2GeTe2: optimized geometry, PBE. Values from VASP.

Geometry as Quantum ESPRESSO input:
```
&SYSTEM
  ibrav = 0, nat = 20, ntyp = 3
/
ATOMIC_SPECIES
Tl 204.38 Tl.upf
Ge 72.64 Ge.upf
Te 127.60 Te.upf
CELL_PARAMETERS angstrom
8.489 0.000 -0.116
0.000 8.965 0.000
-1.239 0.000 9.515
ATOMIC_POSITIONS angstrom
Tl 4.391 2.259 0.774
Tl 0.147 2.224 0.832
Tl 7.103 6.741 8.568
Tl 2.859 6.706 8.625
Tl 8.037 6.296 3.059
Tl 3.793 7.151 3.117
Tl 3.457 1.813 6.282
Tl -0.787 2.669 6.340
Ge 2.725 3.496 3.325
Ge 4.525 5.468 6.074
Ge 6.970 0.986 3.267
Ge 0.280 7.979 6.132
Te 6.273 8.334 1.051
Te 2.029 5.113 1.109
Te 5.221 3.852 8.290
Te 0.977 0.630 8.348
Te 5.425 4.084 3.835
Te 1.181 0.398 3.893
Te 6.069 8.566 5.506
Te 1.825 4.881 5.564
```

Properties
space group: P2_1/c
relative energy among the computed polymorphs: 0.0042 eV/atom


TlGe2Te2: optimized geometry, PBE. Values from VASP.

Geometry as Quantum ESPRESSO input:
```
&SYSTEM
  ibrav = 0, nat = 10, ntyp = 3
/
ATOMIC_SPECIES
Tl 204.38 Tl.upf
Te 127.60 Te.upf
Ge 72.64 Ge.upf
CELL_PARAMETERS angstrom
8.797 0.000 0.000
0.000 8.797 0.000
0.000 0.000 3.858
ATOMIC_POSITIONS angstrom
Tl 0.000 0.000 0.000
Tl 4.399 4.399 0.000
Te 3.071 7.470 0.000
Te 7.470 5.726 0.000
Te 5.726 1.328 0.000
Te 1.328 3.071 0.000
Ge 1.002 5.400 1.929
Ge 5.400 7.796 1.929
Ge 7.796 3.397 1.929
Ge 3.397 1.002 1.929
```

Properties
space group: P4/mbm
relative energy among the computed polymorphs: 0.1198 eV/atom


Tl5GeTe4: optimized geometry, PBE. Values from VASP.

Geometry as Quantum ESPRESSO input:
```
&SYSTEM
  ibrav = 0, nat = 10, ntyp = 3
/
ATOMIC_SPECIES
Tl 204.38 Tl.upf
Ge 72.64 Ge.upf
Te 127.60 Te.upf
CELL_PARAMETERS angstrom
-1.498 4.109 0.959
-2.481 -2.546 7.038
11.081 1.928 -1.409
ATOMIC_POSITIONS angstrom
Tl 3.338 0.815 1.720
Tl 1.840 -0.498 5.010
Tl 5.262 3.989 1.578
Tl -1.989 0.782 3.998
Tl 3.765 2.676 4.867
Ge -0.749 2.055 0.479
Te -0.465 0.636 7.006
Te 0.413 -0.307 1.960
Te 7.568 2.856 -0.419
Te 6.690 3.798 4.627
```

Properties
space group: C2/m
relative energy among the computed polymorphs: 0.0028 eV/atom